Record 1
First-principles (PBE) data for a relaxed Y2PPb crystal, as listed in Alexandria.

Lattice parameters (Å, degrees): 3.5298 3.6240 7.9790 90.00 97.73 90.00
Atoms (fractional coordinates):
Y1 0.0821 0.0000 0.2905
Y2 0.9179 0.0000 0.7095
P1 0.5000 0.5000 0.5000
Pb1 0.5000 0.5000 0.0000

Results
For the energy above the most stable polymorph in this dataset, the calculation gives 254 meV per atom. The energy of formation is -0.83 eV/atom. The space group is P2/m, No. 10. The crystal system is monoclinic.



Record 2
First-principles (PBE) data for a relaxed HoThPd3 crystal, as listed in Alexandria.

Lattice parameters (Å, degrees): 5.3523 5.6233 7.3085 90.00 102.33 90.00
Atoms (fractional coordinates):
Ho1 0.0839 0.2500 0.1397
Ho2 0.9161 0.7500 0.8603
Th1 0.2517 0.2500 0.6291
Th2 0.7483 0.7500 0.3709
Pd1 0.2140 0.7500 0.2403
Pd2 0.3395 0.7500 0.6425
Pd3 0.5000 0.0000 0.0000
Pd4 0.5000 0.5000 0.0000
Pd5 0.6605 0.2500 0.3575
Pd6 0.7860 0.2500 0.7597

Results
For the energy above the most stable polymorph in this dataset, the calculation gives 42 meV per atom. The energy of formation is -0.80 eV/atom. The space group is P2_1/m, No. 11. The crystal system is monoclinic.



Record 3
First-principles (PBE) data for a relaxed CaLaZr2 crystal, as listed in Alexandria.

Lattice parameters (Å, degrees): 5.7672 5.7672 5.7672 128.72 128.64 75.52
Atoms (fractional coordinates):
Ca1 0.0000 0.0000 0.0000
La1 0.2501 0.7501 0.5000
Zr1 0.5007 0.5007 0.0000
Zr2 0.7499 0.2499 0.5000

Results
For the energy above the most stable polymorph in this dataset, the calculation gives 144 meV per atom. The energy of formation is 0.31 eV/atom. The space group is Imm2, No. 44. The crystal system is orthorhombic.



Record 4
First-principles (PBE) data for a relaxed Pr3Fe3I crystal, as listed in Alexandria.

Lattice parameters (Å, degrees): 10.0376 10.0376 4.0615 90.00 90.00 120.00
Atoms (fractional coordinates):
Pr1 0.0713 0.3788 0.2500
Pr2 0.3075 0.9287 0.2500
Pr3 0.3788 0.3075 0.7500
Pr4 0.6212 0.6925 0.2500
Pr5 0.6925 0.0713 0.7500
Pr6 0.9287 0.6212 0.7500
Fe1 0.0112 0.1439 0.7500
Fe2 0.1327 0.9888 0.7500
Fe3 0.1439 0.1327 0.2500
Fe4 0.8561 0.8673 0.7500
Fe5 0.8673 0.0112 0.2500
Fe6 0.9888 0.8561 0.2500
I1 0.3333 0.6667 0.7500
I2 0.6667 0.3333 0.2500

Results
The calculation puts the raw formation energy at -202 meV per atom. The space group is P6_3/m, No. 176. The crystal system is hexagonal.



Record 5
First-principles (PBE) data for a relaxed Nd4Te2PCl crystal, as listed in Alexandria.

Lattice parameters (Å, degrees): 7.4928 4.2473 7.5983 90.00 108.44 90.00
Atoms (fractional coordinates):
Nd1 0.2221 0.0000 0.2118
Nd2 0.2394 0.5000 0.7807
Nd3 0.7606 0.5000 0.2193
Nd4 0.7779 0.0000 0.7882
Te1 0.0000 0.0000 0.5000
Te2 0.5000 0.5000 0.5000
P1 0.0000 0.5000 0.0000
Cl1 0.5000 0.0000 0.0000

Results
The calculation puts the raw formation energy at -1496 meV per atom. The space group is P2/m, No. 10. The crystal system is monoclinic.



Record 6
First-principles (PBE) data for a relaxed GeAs2AuBr crystal, as listed in Alexandria.

Lattice parameters (Å, degrees): 5.0626 5.0626 5.2637 90.00 90.00 90.00
Atoms (fractional coordinates):
Ge1 0.0000 0.0000 0.0000
As1 0.0000 0.5000 0.5000
As2 0.5000 0.0000 0.5000
Au1 0.5000 0.5000 0.5000
Br1 0.5000 0.5000 0.0000

Results
The calculation puts the raw formation energy at 779 meV per atom. The space group is P4/mmm, No. 123. The crystal system is tetragonal.



Record 7
First-principles (PBE) data for a relaxed TeMoIr crystal, as listed in Alexandria.

Lattice parameters (Å, degrees): 3.0831 3.0831 6.5286 90.00 90.00 120.00
Atoms (fractional coordinates):
Te1 0.0000 0.0000 0.0000
Mo1 0.3333 0.6667 0.6680
Ir1 0.6667 0.3333 0.3598

Results
For the energy above the most stable polymorph in this dataset, the calculation gives 96 meV per atom. The calculation puts the raw formation energy at 415 meV per atom. The space group is P3m1, No. 156. The crystal system is trigonal.



Record 8
First-principles (PBE) data for a relaxed NbFe2Ni8 crystal, as listed in Alexandria.

Lattice parameters (Å, degrees): 7.0254 7.0254 7.0254 144.09 139.02 55.61
Atoms (fractional coordinates):
Nb1 0.0000 0.0000 0.0000
Fe1 0.3182 0.8182 0.5000
Fe2 0.6818 0.1818 0.5000
Ni1 0.1015 0.3647 0.7369
Ni2 0.1987 0.1987 0.0000
Ni3 0.3722 0.6353 0.7369
Ni4 0.5000 0.2496 0.7496
Ni5 0.5000 0.7504 0.2504
Ni6 0.6278 0.3647 0.2631
Ni7 0.8013 0.8013 0.0000
Ni8 0.8985 0.6353 0.2631

Results
For the energy above the most stable polymorph in this dataset, the calculation gives 144 meV per atom. The energy of formation is 0.04 eV/atom. The space group is Immm, No. 71. The crystal system is orthorhombic.